{
  "formula": "NaLa2TcC",
  "functional": "GGA-PBE",
  "state": "optimized geometry",
  "dft_energy_ev_per_atom": -6.088,
  "formation_enthalpy_0k_mev_per_atom": 65,
  "lattice": [[5.417, 0.000, 0.000], [0.000, 5.417, 0.000], [0.000, 0.000, 4.044]],
  "species": ["Na", "La", "La", "Tc", "C"],
  "fractional_positions": [[0.000, 0.000, 0.000], [0.000, 0.500, 0.500], [0.500, 0.000, 0.500], [0.500, 0.500, 0.000], [0.500, 0.500, 0.500]]
}


{
  "formula": "NaLaYC2",
  "functional": "GGA-PBE",
  "state": "optimized geometry",
  "dft_energy_ev_per_atom": -4.382,
  "formation_enthalpy_0k_mev_per_atom": 1850,
  "lattice": [[4.771, 0.000, 0.000], [0.000, 4.771, 0.000], [0.000, 0.000, 5.640]],
  "species": ["Na", "La", "Y", "C", "C"],
  "fractional_positions": [[0.000, 0.000, 0.000], [0.500, 0.500, 0.000], [0.500, 0.500, 0.500], [0.000, 0.500, 0.500], [0.500, 0.000, 0.500]]
}


{
  "formula": "NaLa2YC",
  "functional": "GGA-PBE",
  "state": "optimized geometry",
  "dft_energy_ev_per_atom": -5.278,
  "formation_enthalpy_0k_mev_per_atom": 95,
  "lattice": [[5.403, 0.000, 0.000], [0.000, 5.403, 0.000], [0.000, 0.000, 4.990]],
  "species": ["Na", "La", "La", "Y", "C"],
  "fractional_positions": [[0.000, 0.000, 0.000], [0.000, 0.500, 0.500], [0.500, 0.000, 0.500], [0.500, 0.500, 0.000], [0.500, 0.500, 0.500]]
}


{
  "formula": "LaNbC2",
  "functional": "GGA-PBE",
  "state": "optimized geometry",
  "dft_energy_ev_per_atom": -7.416,
  "formation_enthalpy_0k_mev_per_atom": 945,
  "lattice": [[0.000, 3.038, 3.038], [3.038, 0.000, 3.038], [3.038, 3.038, 0.000]],
  "species": ["La", "Nb", "C", "C"],
  "fractional_positions": [[0.000, 0.000, 0.000], [0.500, 0.500, 0.500], [0.250, 0.250, 0.250], [0.750, 0.750, 0.750]]
}


{
  "formula": "LaNb2C",
  "functional": "GGA-PBE",
  "state": "optimized geometry",
  "dft_energy_ev_per_atom": -8.112,
  "formation_enthalpy_0k_mev_per_atom": 461,
  "lattice": [[0.000, 4.610, 4.610], [4.610, 0.000, 4.610], [4.610, 4.610, 0.000]],
  "species": ["La", "La", "Nb", "Nb", "Nb", "Nb", "C", "C"],
  "fractional_positions": [[0.125, 0.125, 0.125], [0.875, 0.875, 0.875], [0.000, 0.500, 0.500], [0.500, 0.000, 0.500], [0.500, 0.500, 0.000], [0.500, 0.500, 0.500], [0.375, 0.375, 0.375], [0.625, 0.625, 0.625]]
}


{
  "formula": "LaNbC2",
  "functional": "GGA-PBE",
  "state": "optimized geometry",
  "dft_energy_ev_per_atom": -8.463,
  "formation_enthalpy_0k_mev_per_atom": -101,
  "lattice": [[1.688, 0.974, 5.995], [-1.688, 0.974, 5.995], [0.000, -1.949, 5.995]],
  "species": ["La", "Nb", "C", "C"],
  "fractional_positions": [[0.000, 0.000, 0.000], [0.500, 0.500, 0.500], [0.233, 0.233, 0.233], [0.767, 0.767, 0.767]]
}


{
  "formula": "LaNbC3",
  "functional": "GGA-PBE",
  "state": "optimized geometry",
  "dft_energy_ev_per_atom": -5.845,
  "formation_enthalpy_0k_mev_per_atom": 2688,
  "lattice": [[4.229, 0.000, 0.000], [0.000, 4.229, 0.000], [0.000, 0.000, 4.229]],
  "species": ["La", "Nb", "C", "C", "C"],
  "fractional_positions": [[0.000, 0.000, 0.000], [0.500, 0.500, 0.500], [0.000, 0.000, 0.500], [0.000, 0.500, 0.000], [0.500, 0.000, 0.000]]
}


{
  "formula": "LaNb2C",
  "functional": "GGA-PBE",
  "state": "optimized geometry",
  "dft_energy_ev_per_atom": -8.569,
  "formation_enthalpy_0k_mev_per_atom": 4,
  "lattice": [[1.598, 0.922, 8.578], [-1.598, 0.922, 8.578], [0.000, -1.845, 8.578]],
  "species": ["La", "Nb", "Nb", "C"],
  "fractional_positions": [[0.000, 0.000, 0.000], [0.121, 0.121, 0.121], [0.879, 0.879, 0.879], [0.500, 0.500, 0.500]]
}